Record 1
A plane-wave DFT calculation with GGA-PBE was carried out for Ca3Zn2GaCu9 after structural relaxation.

## Properties
Electronic total energy (eV/atom): -3.139
Theoretical density (g/cm3): 5.1
Symmetry: P-3m1 (164)

Cell lengths 6.183, 6.183, 8.763 Å; angles 90.00, 90.00, 120.00 degrees
Fractional positions:
Ca 0.000 0.000 0.000
Ca 0.333 0.667 0.657
Ca 0.667 0.333 0.343
Zn 0.333 0.667 0.181
Zn 0.667 0.333 0.819
Ga 0.000 0.000 0.500
Cu 0.000 0.500 0.000
Cu 0.135 0.271 0.285
Cu 0.135 0.865 0.285
Cu 0.271 0.135 0.715
Cu 0.500 0.000 0.000
Cu 0.500 0.500 0.000
Cu 0.729 0.865 0.285
Cu 0.865 0.135 0.715
Cu 0.865 0.729 0.715


Record 2
A plane-wave DFT calculation with GGA-PBE was carried out for KNd2BiO6 after structural relaxation.

## Properties
Theoretical density (g/cm3): 6.1
Symmetry: R3 (146)
Uncorrected formation energy (eV per atom): -2.222

Cell lengths 6.443, 6.443, 6.443 Å; angles 56.42, 56.42, 56.42 degrees
Fractional positions:
K 0.000 0.000 0.000
Nd 0.263 0.263 0.263
Nd 0.773 0.773 0.773
Bi 0.468 0.468 0.468
O 0.089 0.610 0.433
O 0.214 0.539 0.839
O 0.433 0.089 0.610
O 0.539 0.839 0.214
O 0.610 0.433 0.089
O 0.839 0.214 0.539


Question: Look up the theoretical density of the second one.
Answer: 6.1 g/cm3